A relaxed structure of Sr7Mg. Source: Alexandria, functional PBEsol.

```
8
Lattice="0.000 5.761 5.761 5.761 0.000 5.761 5.761 5.761 0.000" Properties=species:S:1:pos:R:3 pbc="T T T"
Sr 0.000 0.000 0.000
Sr 2.881 2.881 0.000
Sr 2.881 0.000 2.881
Sr 5.761 2.881 2.881
Sr 0.000 2.881 2.881
Sr 2.881 5.761 2.881
Sr 2.881 2.881 5.761
Mg 5.761 5.761 5.761
```

Calculated values
* formation energy from the elements: 0.05 eV per atom
* ρ: 2.768 g/cm³
* V: 47.81 Å³ per atom
* Fermi-level density of states: 1.2405 states/eV per atom